Record 1
# CaPdSe2N PBEsol relaxed
# * DOS(E_F): 0.6726 states/eV/atom
# * V: 19.7 Å³/atom
# * raw total energy: -25.5 eV for the cell shown
data_CaPdSe2N
_cell_length_a 5.172
_cell_length_b 5.172
_cell_length_c 3.685
_cell_angle_alpha 90.00
_cell_angle_beta 90.00
_cell_angle_gamma 90.00
_space_group_name_H-M_alt 'P 4/m m m'
_space_group_IT_number 123
_space_group_name_Hall '-P 4 2'
loop_
_atom_site_label
_atom_site_type_symbol
_atom_site_fract_x
_atom_site_fract_y
_atom_site_fract_z
Ca1 Ca 0.000 0.000 0.000
Pd1 Pd 0.500 0.500 0.500
Se1 Se 0.000 0.500 0.500
N1 N 0.500 0.500 0.000

=====

Record 2
# Ca2PtN PBEsol relaxed
# * DOS(E_F): 0.1593 states/eV/atom
# * V: 18.6 Å³/atom
# * raw total energy: -84.6 eV for the cell shown
data_Ca2PtN
_cell_length_a 7.057
_cell_length_b 7.057
_cell_length_c 5.968
_cell_angle_alpha 90.00
_cell_angle_beta 90.00
_cell_angle_gamma 90.00
_space_group_name_H-M_alt 'I -4 2 d'
_space_group_IT_number 122
_space_group_name_Hall 'I -4 2bw'
loop_
_atom_site_label
_atom_site_type_symbol
_atom_site_fract_x
_atom_site_fract_y
_atom_site_fract_z
Ca1 Ca 0.178 0.750 0.125
Pt1 Pt 0.000 0.000 0.500
N1 N 0.000 0.000 0.000

=====

Record 3
# RbCaN2 PBEsol relaxed
# * DOS(E_F): 0.4220 states/eV/atom
# * V: 27.8 Å³/atom
# * raw total energy: -45.5 eV for the cell shown
data_RbCaN2
_cell_length_a 4.0219
_cell_length_b 4.0219
_cell_length_c 23.8478
_cell_angle_alpha 90.00
_cell_angle_beta 90.00
_cell_angle_gamma 120.00
_space_group_name_H-M_alt 'R -3 m'
_space_group_IT_number 166
_space_group_name_Hall '-R 3 2"'
loop_
_atom_site_label
_atom_site_type_symbol
_atom_site_fract_x
_atom_site_fract_y
_atom_site_fract_z
Rb1 Rb 0.0000 0.0000 0.0000
Ca1 Ca 0.0000 0.0000 0.5000
N1 N 0.0000 0.0000 0.4095

=====

Record 4
# RbCaSe2N PBEsol relaxed
# * DOS(E_F): 0.9016 states/eV/atom
# * V: 31.8 Å³/atom
# * raw total energy: -15.5 eV for the cell shown
data_RbCaSe2N
_cell_length_a 5.727
_cell_length_b 5.727
_cell_length_c 4.854
_cell_angle_alpha 90.00
_cell_angle_beta 90.00
_cell_angle_gamma 90.00
_space_group_name_H-M_alt 'P 4/m m m'
_space_group_IT_number 123
_space_group_name_Hall '-P 4 2'
loop_
_atom_site_label
_atom_site_type_symbol
_atom_site_fract_x
_atom_site_fract_y
_atom_site_fract_z
Rb1 Rb 0.000 0.000 0.000
Ca1 Ca 0.500 0.500 0.500
Se1 Se 0.000 0.500 0.000
N1 N 0.000 0.000 0.500

=====

Record 5
# RbCaTe2N PBEsol relaxed
# * DOS(E_F): 0.9976 states/eV/atom
# * V: 36.9 Å³/atom
# * raw total energy: -14.5 eV for the cell shown
data_RbCaTe2N
_cell_length_a 6.117
_cell_length_b 6.117
_cell_length_c 4.929
_cell_angle_alpha 90.00
_cell_angle_beta 90.00
_cell_angle_gamma 90.00
_space_group_name_H-M_alt 'P 4/m m m'
_space_group_IT_number 123
_space_group_name_Hall '-P 4 2'
loop_
_atom_site_label
_atom_site_type_symbol
_atom_site_fract_x
_atom_site_fract_y
_atom_site_fract_z
Rb1 Rb 0.000 0.000 0.000
Ca1 Ca 0.500 0.500 0.500
Te1 Te 0.000 0.500 0.000
N1 N 0.000 0.000 0.500

=====

Record 6
# RbCa2ZrN PBEsol relaxed
# * DOS(E_F): 1.0741 states/eV/atom
# * V: 34.2 Å³/atom
# * raw total energy: -20.7 eV for the cell shown
data_RbCa2ZrN
_cell_length_a 6.394
_cell_length_b 6.394
_cell_length_c 4.187
_cell_angle_alpha 90.00
_cell_angle_beta 90.00
_cell_angle_gamma 90.00
_space_group_name_H-M_alt 'P 4/m m m'
_space_group_IT_number 123
_space_group_name_Hall '-P 4 2'
loop_
_atom_site_label
_atom_site_type_symbol
_atom_site_fract_x
_atom_site_fract_y
_atom_site_fract_z
Rb1 Rb 0.000 0.000 0.000
Ca1 Ca 0.000 0.500 0.500
Zr1 Zr 0.500 0.500 0.500
N1 N 0.500 0.500 0.000